## TlCo4Mo (PBE)

Data for a relaxed structure of TlCo4Mo.

Summary:
Formation energy   0.332 eV per atom
Uncorrected energy   -6.605 eV/atom
Theoretical density   11.5 g cm⁻³

Cell and atoms, written as CIF:
```
data_TlCo4Mo
_chemical_formula_sum 'Tl4 Co16 Mo4'
_symmetry_space_group_name_H-M 'F -4 3 m'
_symmetry_Int_Tables_number 216
_symmetry_space_group_name_Hall 'F -4 2 3'
_cell_length_a 6.767
_cell_length_b 6.767
_cell_length_c 6.767
_cell_angle_alpha 90.00
_cell_angle_beta 90.00
_cell_angle_gamma 90.00
loop_
_atom_site_label
_atom_site_type_symbol
_atom_site_fract_x
_atom_site_fract_y
_atom_site_fract_z
Tl1 Tl 0.000 0.000 0.000
Co1 Co 0.125 0.125 0.625
Mo1 Mo 0.250 0.250 0.250
```